NdSF at its PBEsol-relaxed geometry. Source: Alexandria via LeMat-Bulk, functional meta-GGA SCAN.

E_tot, eV/atom: -22.2653
Space-group type: P4/nmm
Theoretical density, g cm⁻³: 6.212
Uncorrected formation energy, kJ/mol of formula units: -969
Spin magnetization, Bohr magnetons per cell: 0.00

```
NdSF
1.0
-1.879 -1.301 -3.155
0.106 -3.622 1.431
-6.023 1.066 3.147
S Nd F
2 2 2
direct
0.500 0.000 0.646
0.000 0.500 0.354
0.000 0.500 0.772
0.500 0.000 0.228
0.500 0.500 0.000
0.000 0.000 0.000
```